Record 1
# RbCrCu2Tc, optimized geometry, DFT PBE-GGA
data_RbCrCu2Tc
_chemical_formula_sum 'Rb1 Cr1 Cu2 Tc1'
_space_group_name_H-M_alt 'P 1'
_space_group_IT_number 1
_cell_length_a 4.778
_cell_length_b 4.778
_cell_length_c 5.127
_cell_angle_alpha 90.00
_cell_angle_beta 90.00
_cell_angle_gamma 90.00
loop_
_space_group_symop_operation_xyz
'x,y,z'
loop_
_atom_site_label
_atom_site_type_symbol
_atom_site_fract_x
_atom_site_fract_y
_atom_site_fract_z
Rb1 Rb 0.000 0.000 0.000
Cr1 Cr 0.500 0.500 0.000
Cu1 Cu 0.000 0.500 0.500
Cu2 Cu 0.500 0.000 0.500
Tc1 Tc 0.000 0.000 0.500
# Total magnetization, μB/atom: 0.06
# ρ, g/cm3: 5.144
# Density of states at the Fermi level, states/eV per cell: 8.663
# Formation energy from the elements, eV per atom: 2.287

=====

Record 2
# Ca3LaU2As6, optimized geometry, DFT PBE-GGA
data_Ca3LaU2As6
_chemical_formula_sum 'Ca3 La1 U2 As6'
_space_group_name_H-M_alt 'P 1'
_space_group_IT_number 1
_cell_length_a 7.346
_cell_length_b 7.346
_cell_length_c 7.270
_cell_angle_alpha 99.73
_cell_angle_beta 99.73
_cell_angle_gamma 119.99
loop_
_space_group_symop_operation_xyz
'x,y,z'
loop_
_atom_site_label
_atom_site_type_symbol
_atom_site_fract_x
_atom_site_fract_y
_atom_site_fract_z
Ca1 Ca 0.000 0.000 0.000
Ca2 Ca 0.337 0.663 0.000
Ca3 Ca 0.663 0.337 0.000
La1 La 0.500 0.500 0.500
U1 U 0.167 0.833 0.500
U2 U 0.833 0.167 0.500
As1 As 0.072 0.422 0.267
As2 As 0.228 0.228 0.734
As3 As 0.422 0.072 0.267
As4 As 0.578 0.928 0.733
As5 As 0.772 0.772 0.266
As6 As 0.928 0.578 0.733
# Total magnetization, μB/atom: 0.25
# ρ, g/cm3: 6.153
# Density of states at the Fermi level, states/eV per cell: 11.901
# Formation energy from the elements, eV per atom: -1.097

=====

Record 3
# LaNd2Mg3, optimized geometry, DFT PBE-GGA
data_LaNd2Mg3
_chemical_formula_sum 'La1 Nd2 Mg3'
_space_group_name_H-M_alt 'P 1'
_space_group_IT_number 1
_cell_length_a 3.911
_cell_length_b 3.911
_cell_length_c 11.764
_cell_angle_alpha 90.00
_cell_angle_beta 90.00
_cell_angle_gamma 90.00
loop_
_space_group_symop_operation_xyz
'x,y,z'
loop_
_atom_site_label
_atom_site_type_symbol
_atom_site_fract_x
_atom_site_fract_y
_atom_site_fract_z
La1 La 0.000 0.000 0.000
Nd1 Nd 0.000 0.000 0.336
Nd2 Nd 0.000 0.000 0.664
Mg1 Mg 0.500 0.500 0.172
Mg2 Mg 0.500 0.500 0.500
Mg3 Mg 0.500 0.500 0.828
# Total magnetization, μB/atom: 0.00
# ρ, g/cm3: 4.616
# Density of states at the Fermi level, states/eV per cell: 6.907
# Formation energy from the elements, eV per atom: -0.111

=====

Record 4
# CaTb7Cd4, optimized geometry, DFT PBE-GGA
data_CaTb7Cd4
_chemical_formula_sum 'Ca1 Tb7 Cd4'
_space_group_name_H-M_alt 'P 1'
_space_group_IT_number 1
_cell_length_a 7.916
_cell_length_b 7.916
_cell_length_c 9.805
_cell_angle_alpha 119.60
_cell_angle_beta 119.60
_cell_angle_gamma 42.54
loop_
_space_group_symop_operation_xyz
'x,y,z'
loop_
_atom_site_label
_atom_site_type_symbol
_atom_site_fract_x
_atom_site_fract_y
_atom_site_fract_z
Ca1 Ca 0.000 0.000 0.000
Tb1 Tb 0.073 0.073 0.419
Tb2 Tb 0.207 0.207 0.880
Tb3 Tb 0.264 0.264 0.308
Tb4 Tb 0.500 0.500 0.000
Tb5 Tb 0.736 0.736 0.692
Tb6 Tb 0.793 0.793 0.120
Tb7 Tb 0.927 0.927 0.581
Cd1 Cd 0.320 0.320 0.660
Cd2 Cd 0.459 0.459 0.287
Cd3 Cd 0.541 0.541 0.713
Cd4 Cd 0.680 0.680 0.340
# Total magnetization, μB/atom: 0.00
# ρ, g/cm3: 7.553
# Density of states at the Fermi level, states/eV per cell: 12.644
# Formation energy from the elements, eV per atom: 0.025